# In4Se

In4Se after structural relaxation (PBE, Alexandria via LeMat-Bulk).

**V**: 176 Å³ per cell
**Excess energy over the best structure of this formula in the dataset**: 0.381 eV/atom
**Fermi-level density of states**: 0.679 states/eV per atom
**ΔE_f (raw)**: 0.27 eV per atom
**VASP energy**: -2.614 eV per atom
**Crystal system**: cubic
**SG**: No. 221
**Magnetization**: 0.0 Bohr magnetons per cell

Geometry as POSCAR:
```
In4Se
1.0
5.6073 0.0000 0.0000
0.0000 5.6073 0.0000
0.0000 0.0000 5.6073
In Se
4 1
direct
0.0000 0.0000 0.0000 In
0.0000 0.5000 0.5000 In
0.5000 0.0000 0.5000 In
0.5000 0.5000 0.0000 In
0.5000 0.5000 0.5000 Se
```